No. 1
# Rb2UCu2S6

Crystalline Rb2UCu2S6 at its relaxed geometry (PBE, Alexandria).

Uncorrected formation energy ... -819 kJ/mol of formula units
E ... -4.970 eV per atom

Cell lengths 7.2033, 7.2033, 7.1577 Å; angles 90.00, 90.00, 120.00 degrees
Element x y z (fractional)
Rb 0.6667 0.3333 0.7116
Rb 0.3333 0.6667 0.2884
U 0.0000 0.0000 0.0000
Cu 0.3333 0.6667 0.7974
Cu 0.6667 0.3333 0.2026
S 0.1577 0.3207 0.7793
S 0.6793 0.8370 0.7793
S 0.1630 0.8423 0.7793
S 0.8423 0.6793 0.2207
S 0.3207 0.1630 0.2207
S 0.8370 0.1577 0.2207

No. 2
# YCrOs2

Crystalline YCrOs2 at its relaxed geometry (PBE, Alexandria).

DFT formation energy ... 375.7 meV/atom
E ... -9.261 eV per atom

Cell lengths 4.2122, 2.9581, 5.6959 Å; angles 74.99, 90.00, 90.00 degrees
Element x y z (fractional)
Cr 0.5000 0.9081 0.8051
Os 0.0000 0.8154 0.9987
Os 0.5000 0.2205 0.1853
Y 0.0000 0.5560 0.5109